Entry from Alexandria: an optimized crystal structure of Zn2Si2As3P (PBE-GGA).

Computed properties:
**Magnetization**: 0.00 μB/atom
**DFT total energy**: -4.32 eV per atom

```
Zn2Si2As3P
1.0
1.008 -1.597 -6.462
5.575 -1.989 -3.206
0.237 -5.503 -0.995
Zn Si As P
2 2 3 1
direct
0.004 0.238 0.639 Zn
0.762 0.996 0.361 Zn
0.491 0.755 0.121 Si
0.245 0.509 0.879 Si
0.609 0.391 0.500 As
0.373 0.127 0.239 As
0.873 0.627 0.761 As
0.144 0.856 0.000 P
```